# 1
A geometry-optimized Er2VAg2O6 structure. Source: Alexandria, functional PBE with a Hubbard U.

abc: 5.6734 10.0697 6.4776
angles: 90.00 103.11 90.00
Space group C2/m (No. 12)
Inequivalent atoms, fractional coordinates:
Er  0.0000  0.1641  0.0000 [4 per cell]
V  0.0000  0.5000  0.0000 [2 per cell]
Ag  0.0000  0.3463  0.5000 [4 per cell]
O  0.1043  0.3436  0.8317 [8 per cell]
O  0.1732  0.0000  0.8543 [4 per cell]

Results
* D(E_F): 0.0 states/eV/cell
* E_tot: -6.90 eV per atom
* spin magnetization: 1.014 μB per formula unit

***

# 2
A geometry-optimized Er3VAg3O8 structure. Source: Alexandria, functional PBE with a Hubbard U.

abc: 11.5304 6.7867 7.6066
angles: 90.00 124.17 90.00
Space group C2/m (No. 12)
Inequivalent atoms, fractional coordinates:
Er  0.0000  0.0000  0.0000 [2 per cell]
Er  0.2500  0.2500  0.0000 [4 per cell]
V  0.0000  0.5000  0.0000 [2 per cell]
Ag  0.0000  0.0000  0.5000 [2 per cell]
Ag  0.2500  0.2500  0.5000 [4 per cell]
O  0.0897  0.5000  0.8555 [4 per cell]
O  0.1057  0.0000  0.8320 [4 per cell]
O  0.1383  0.2644  0.1683 [8 per cell]

Results
* D(E_F): 0.0 states/eV/cell
* E_tot: -6.80 eV per atom
* spin magnetization: 0.967 μB per formula unit